Run w
Entry from Alexandria via LeMat-Bulk: a relaxed structure of TcNiSb3 (PBE).

Properties
DOS(E_F)	4.77	states/eV per cell
V	23.75	A^3/atom

```
5
Lattice="4.9150 0.0000 0.0000 0.0000 4.9150 0.0000 0.0000 0.0000 4.9150" Properties=species:S:1:pos:R:3 pbc="T T T"
Tc 0.0000 0.0000 0.0000
Ni 2.4575 2.4575 2.4575
Sb 0.0000 2.4575 2.4575
Sb 2.4575 0.0000 2.4575
Sb 2.4575 2.4575 0.0000
```



Run x
Entry from Alexandria via LeMat-Bulk: a relaxed structure of TcNiSb3 (PBE).

Properties
DOS(E_F)	7.98	states/eV per cell
V	26.65	A^3/atom

```
5
Lattice="5.1076 0.0000 0.0000 0.0000 5.1076 0.0000 0.0000 0.0000 5.1076" Properties=species:S:1:pos:R:3 pbc="T T T"
Tc 0.0000 0.0000 0.0000
Ni 2.5538 2.5538 2.5538
Sb 0.0000 0.0000 2.5538
Sb 0.0000 2.5538 0.0000
Sb 2.5538 0.0000 0.0000
```



The least stable of them is run x.



Run w
Entry from Alexandria via LeMat-Bulk: a relaxed structure of TcNiSb2Te (PBE).

Properties
DOS(E_F)	5.03	states/eV per cell
V	24.31	A^3/atom

```
5
Lattice="4.8605 0.0000 0.0000 0.0000 4.8605 0.0000 0.0000 0.0000 5.1442" Properties=species:S:1:pos:R:3 pbc="T T T"
Tc 0.0000 0.0000 0.0000
Ni 2.4302 2.4302 2.5721
Sb 0.0000 2.4302 2.5721
Sb 2.4302 0.0000 2.5721
Te 2.4302 2.4302 0.0000
```



Run x
Entry from Alexandria via LeMat-Bulk: a relaxed structure of TcNiSb2Te (PBE).

Properties
DOS(E_F)	5.65	states/eV per cell
V	27.11	A^3/atom

```
5
Lattice="5.0975 0.0000 0.0000 0.0000 5.0975 0.0000 0.0000 0.0000 5.2169" Properties=species:S:1:pos:R:3 pbc="T T T"
Tc 0.0000 0.0000 0.0000
Ni 2.5488 2.5488 2.6084
Sb 0.0000 2.5488 0.0000
Sb 2.5488 0.0000 0.0000
Te 0.0000 0.0000 2.6084
```



The least stable of them is run x.



Run w
Entry from Alexandria via LeMat-Bulk: a relaxed structure of Ni2SbTe (PBE).

Properties
DOS(E_F)	2.25	states/eV per cell
V	18.40	A^3/atom

```
4
Lattice="1.8680 1.0785 6.0880 -1.8680 1.0785 6.0880 0.0000 -2.1570 6.0880" Properties=species:S:1:pos:R:3 pbc="T T T"
Ni 0.0000 0.0000 4.5409
Ni 0.0000 0.0000 13.7232
Sb 0.0000 0.0000 9.1320
Te 0.0000 0.0000 0.0000
```



Run x
Entry from Alexandria via LeMat-Bulk: a relaxed structure of Ni2SbTe (PBE).

Properties
DOS(E_F)	2.65	states/eV per cell
V	18.18	A^3/atom

```
4
Lattice="-1.8950 1.8950 5.0622 1.8950 -1.8950 5.0622 1.8950 1.8950 -5.0622" Properties=species:S:1:pos:R:3 pbc="T T T"
Ni 0.0000 0.0000 0.0000
Ni 0.0000 1.8950 2.5311
Sb 1.8950 0.0000 2.5311
Te 0.0000 0.0000 5.0622
```



The least stable of them is run x.



Run w
Entry from Alexandria via LeMat-Bulk: a relaxed structure of Ni2SbTe (PBE).

Properties
DOS(E_F)	10.06	states/eV per cell
V	18.09	A^3/atom

```
16
Lattice="8.0238 0.0000 0.0000 0.0000 6.9264 0.0000 0.0000 0.0000 5.2070" Properties=species:S:1:pos:R:3 pbc="T T T"
Ni 1.0091 1.7316 0.0000
Ni 1.0091 1.7316 2.6035
Ni 2.9885 5.1948 0.0000
Ni 2.9885 5.1948 2.6035
Ni 5.0353 1.7316 0.0000
Ni 5.0353 1.7316 2.6035
Ni 7.0148 5.1948 0.0000
Ni 7.0148 5.1948 2.6035
Sb 0.9721 4.0564 1.3018
Sb 0.9721 6.3332 3.9053
Sb 7.0517 0.5932 1.3018
Sb 7.0517 2.8700 3.9053
Te 2.9893 0.5578 1.3018
Te 2.9893 2.9054 3.9053
Te 5.0345 4.0210 1.3018
Te 5.0345 6.3686 3.9053
```



Run x
Entry from Alexandria via LeMat-Bulk: a relaxed structure of Ni2SbTe (PBE).

Properties
DOS(E_F)	1.31	states/eV per cell
V	17.75	A^3/atom

```
4
Lattice="0.0000 3.2865 3.2865 3.2865 0.0000 3.2865 3.2865 3.2865 0.0000" Properties=species:S:1:pos:R:3 pbc="T T T"
Ni 1.6433 1.6433 1.6433
Ni 4.9298 4.9298 4.9298
Sb 0.0000 0.0000 0.0000
Te 3.2865 3.2865 3.2865
```



The least stable of them is run x.



Run w
Entry from Alexandria via LeMat-Bulk: a relaxed structure of Ni2SbTe (PBE).

Properties
DOS(E_F)	1.59	states/eV per cell
V	17.71	A^3/atom

```
4
Lattice="3.3038 0.0000 0.0000 0.0000 3.3038 0.0000 0.0000 0.0000 6.4897" Properties=species:S:1:pos:R:3 pbc="T T T"
Ni 0.0000 0.0000 1.5818
Ni 0.0000 0.0000 4.9079
Sb 1.6519 1.6519 3.2448
Te 1.6519 1.6519 0.0000
```



Run x
Entry from Alexandria via LeMat-Bulk: a relaxed structure of Ni2SbTe (PBE).

Properties
DOS(E_F)	3.84	states/eV per cell
V	18.91	A^3/atom

```
4
Lattice="0.0000 3.3565 3.3565 3.3565 0.0000 3.3565 3.3565 3.3565 0.0000" Properties=species:S:1:pos:R:3 pbc="T T T"
Ni 0.0000 0.0000 0.0000
Ni 1.6782 1.6782 1.6782
Sb 3.3565 3.3565 3.3565
Te 5.0347 5.0347 5.0347
```



The least stable of them is run x.



Run w
Entry from Alexandria via LeMat-Bulk: a relaxed structure of Ni3Sb2Te2 (PBE).

Properties
DOS(E_F)	3.98	states/eV per cell
V	20.96	A^3/atom

```
7
Lattice="4.0045 0.0000 0.0000 0.4051 6.2956 0.0000 1.0818 2.2568 5.8201" Properties=species:S:1:pos:R:3 pbc="T T T"
Ni 0.0000 0.0000 0.0000
Ni 2.3117 3.0916 2.5587
Ni 3.1797 5.4608 3.2614
Sb 1.1831 4.5159 4.4872
Sb 4.3083 4.0365 1.3329
Te 2.0100 0.8284 1.4408
Te 3.4814 7.7240 4.3793
```



Run x
Entry from Alexandria via LeMat-Bulk: a relaxed structure of Ni3Sb2Te2 (PBE).

Properties
DOS(E_F)	3.96	states/eV per cell
V	20.16	A^3/atom

```
7
Lattice="6.1935 -1.9833 0.0000 6.1935 1.9833 0.0000 -3.6335 0.0000 5.7428" Properties=species:S:1:pos:R:3 pbc="T T T"
Ni 0.0000 0.0000 0.0000
Ni 2.1632 0.0000 1.4951
Ni 4.3893 0.0000 3.0086
Sb -1.3015 0.0000 4.5884
Sb 6.6440 0.0000 1.7063
Te 2.0865 0.0000 4.1877
Te 10.1134 0.0000 1.2983
```



The least stable of them is run w.



Run w
Entry from Alexandria via LeMat-Bulk: a relaxed structure of NiSbTe4 (PBE).

Properties
DOS(E_F)	3.61	states/eV per cell
V	28.83	A^3/atom

```
6
Lattice="5.8628 0.0000 0.0000 0.0000 4.0944 0.0000 -0.3346 0.0000 7.2063" Properties=species:S:1:pos:R:3 pbc="T T T"
Ni 0.0000 0.0000 0.0000
Sb 2.7641 2.0472 3.6032
Te 0.7122 0.0000 4.7556
Te 1.5455 2.0472 0.6584
Te 3.9827 2.0472 6.5479
Te 4.8160 0.0000 2.4508
```



Run x
Entry from Alexandria via LeMat-Bulk: a relaxed structure of NiSbTe4 (PBE).

Properties
DOS(E_F)	10.46	states/eV per cell
V	28.83	A^3/atom

```
6
Lattice="0.0000 4.4222 4.4222 4.4222 0.0000 4.4222 4.4222 4.4222 0.0000" Properties=species:S:1:pos:R:3 pbc="T T T"
Ni 0.0000 0.0000 0.0000
Sb 6.6333 6.6333 6.6333
Te 3.3135 3.3135 3.3135
Te 5.5309 5.5309 3.3135
Te 5.5309 3.3135 5.5309
Te 3.3135 5.5309 5.5309
```



The least stable of them is run x.



Run w
Entry from Alexandria via LeMat-Bulk: a relaxed structure of TiNiSb2Te (PBE).

Properties
DOS(E_F)	7.96	states/eV per cell
V	28.32	A^3/atom

```
5
Lattice="5.2168 0.0000 0.0000 0.0000 5.2168 0.0000 0.0000 0.0000 5.2034" Properties=species:S:1:pos:R:3 pbc="T T T"
Ti 0.0000 0.0000 0.0000
Ni 2.6084 2.6084 2.6017
Sb 0.0000 2.6084 0.0000
Sb 2.6084 0.0000 0.0000
Te 0.0000 0.0000 2.6017
```



Run x
Entry from Alexandria via LeMat-Bulk: a relaxed structure of TiNiSb2Te (PBE).

Properties
DOS(E_F)	7.00	states/eV per cell
V	24.64	A^3/atom

```
5
Lattice="4.8866 0.0000 0.0000 0.0000 4.8866 0.0000 0.0000 0.0000 5.1587" Properties=species:S:1:pos:R:3 pbc="T T T"
Ti 0.0000 0.0000 0.0000
Ni 2.4433 2.4433 2.5794
Sb 0.0000 2.4433 2.5794
Sb 2.4433 0.0000 2.5794
Te 2.4433 2.4433 0.0000
```



The least stable of them is run w.